Entry from Alexandria: TbErHgOs after structural relaxation (PBE-GGA).

Computed properties:
- M_tot: 0.000 μB per formula unit
- Formation energy: -0.39 eV per atom
- E above lowest polymorph: 0.0 meV/atom
- V: 90.66 Å³ per cell
- Total energy: -0.20475 hartree per atom

Structure (CIF):
```
data_TbErHgOs
_chemical_formula_sum 'Tb1 Er1 Hg1 Os1'
_cell_length_a 3.4459
_cell_length_b 3.4459
_cell_length_c 7.6353
_cell_angle_alpha 90.00
_cell_angle_beta 90.00
_cell_angle_gamma 90.00
_symmetry_space_group_name_H-M 'P 1'
_symmetry_Int_Tables_number 1
loop_
_symmetry_equiv_pos_as_xyz
'x,y,z'
loop_
_atom_site_label
_atom_site_fract_x
_atom_site_fract_y
_atom_site_fract_z
_atom_site_occupancy
Os1 0.0000 0.0000 0.5669 1
Hg1 0.0000 0.0000 0.0762 1
Er1 0.5000 0.5000 0.3534 1
Tb1 0.5000 0.5000 0.7881 1
```